Entry 1:
A relaxed Sr4N2Cl5 crystal. Source: Alexandria, functional GGA-PBE.

Output
Calculated density (g cm⁻³): 3.3
Raw formation energy (meV/atom): -1860
Total magnetic moment (μB/cell): 1.0
Symmetry: No. 71
Total DFT energy (no corrections) (eV/atom): -4.824

Geometry as CIF:
```
data_Sr4N2Cl5
_chemical_formula_sum 'Sr4 N2 Cl5'
_cell_length_a 9.7422
_cell_length_b 9.7422
_cell_length_c 9.7422
_cell_angle_alpha 155.28
_cell_angle_beta 133.14
_cell_angle_gamma 53.69
_space_group_name_H-M_alt 'P 1'
_space_group_IT_number 1
loop_
_space_group_symop_operation_xyz
'x,y,z'
loop_
_atom_site_label
_atom_site_type_symbol
_atom_site_fract_x
_atom_site_fract_y
_atom_site_fract_z
Sr1 Sr 0.1812 0.1812 0.0000
Sr2 Sr 0.2161 0.5000 0.7161
Sr3 Sr 0.7839 0.5000 0.2839
Sr4 Sr 0.8188 0.8188 0.0000
N1 N 0.0386 0.0386 0.0000
N2 N 0.9614 0.9614 0.0000
Cl1 Cl 0.0964 0.3317 0.7646
Cl2 Cl 0.4329 0.6683 0.7646
Cl3 Cl 0.5000 0.0000 0.5000
Cl4 Cl 0.5671 0.3317 0.2354
Cl5 Cl 0.9036 0.6683 0.2354
```

***

Entry 2:
A relaxed SrNCl crystal. Source: Alexandria, functional GGA-PBE.

Output
Calculated density (g cm⁻³): 2.6
Raw formation energy (meV/atom): -1168
Total magnetic moment (μB/cell): 1.3
Symmetry: No. 139
Total DFT energy (no corrections) (eV/atom): -5.120

Geometry as CIF:
```
data_SrNCl
_chemical_formula_sum 'Sr2 N2 Cl2'
_cell_length_a 10.0593
_cell_length_b 10.0593
_cell_length_c 10.0593
_cell_angle_alpha 155.72
_cell_angle_beta 155.72
_cell_angle_gamma 34.61
_space_group_name_H-M_alt 'P 1'
_space_group_IT_number 1
loop_
_space_group_symop_operation_xyz
'x,y,z'
loop_
_atom_site_label
_atom_site_type_symbol
_atom_site_fract_x
_atom_site_fract_y
_atom_site_fract_z
Sr1 Sr 0.1552 0.1552 0.0000
Sr2 Sr 0.8448 0.8448 0.0000
N1 N 0.0307 0.0307 0.0000
N2 N 0.9693 0.9693 0.0000
Cl1 Cl 0.3161 0.3161 0.0000
Cl2 Cl 0.6839 0.6839 0.0000
```

***

Entry 3:
A relaxed Sr5TaN4Cl2 crystal. Source: Alexandria, functional GGA-PBE.

Output
Calculated density (g cm⁻³): 4.7
Raw formation energy (meV/atom): -1252
Total magnetic moment (μB/cell): 0.5
Symmetry: No. 38
Total DFT energy (no corrections) (eV/atom): -6.023

Geometry as CIF:
```
data_Sr5TaN4Cl2
_chemical_formula_sum 'Sr5 Ta1 N4 Cl2'
_cell_length_a 8.1683
_cell_length_b 5.9803
_cell_length_c 5.9803
_cell_angle_alpha 116.11
_cell_angle_beta 90.00
_cell_angle_gamma 90.00
_space_group_name_H-M_alt 'P 1'
_space_group_IT_number 1
loop_
_space_group_symop_operation_xyz
'x,y,z'
loop_
_atom_site_label
_atom_site_type_symbol
_atom_site_fract_x
_atom_site_fract_y
_atom_site_fract_z
Sr1 Sr 0.0000 0.0000 0.0000
Sr2 Sr 0.2994 0.2235 0.5773
Sr3 Sr 0.2994 0.5773 0.2235
Sr4 Sr 0.7006 0.2235 0.5773
Sr5 Sr 0.7006 0.5773 0.2235
Ta1 Ta 0.5000 0.9117 0.9117
N1 N 0.3052 0.1005 0.1005
N2 N 0.5000 0.5669 0.8876
N3 N 0.5000 0.8876 0.5669
N4 N 0.6948 0.1005 0.1005
Cl1 Cl 0.0000 0.4641 0.9045
Cl2 Cl 0.0000 0.9045 0.4641
```

***

Entry 4:
A relaxed SrTeN2Cl crystal. Source: Alexandria, functional GGA-PBE.

Output
Calculated density (g cm⁻³): 2.8
Raw formation energy (meV/atom): 1302
Total magnetic moment (μB/cell): 4.5
Symmetry: No. 123
Total DFT energy (no corrections) (eV/atom): -3.362
Excess energy over the best structure of this formula in the dataset (eV per atom): 0.000

Geometry as CIF:
```
data_SrTeN2Cl
_chemical_formula_sum 'Sr1 Te1 N2 Cl1'
_cell_length_a 4.8791
_cell_length_b 4.8791
_cell_length_c 6.8889
_cell_angle_alpha 90.00
_cell_angle_beta 90.00
_cell_angle_gamma 90.00
_space_group_name_H-M_alt 'P 1'
_space_group_IT_number 1
loop_
_space_group_symop_operation_xyz
'x,y,z'
loop_
_atom_site_label
_atom_site_type_symbol
_atom_site_fract_x
_atom_site_fract_y
_atom_site_fract_z
Sr1 Sr 0.0000 0.0000 0.0000
Te1 Te 0.0000 0.0000 0.5000
N1 N 0.0000 0.5000 0.0000
N2 N 0.5000 0.0000 0.0000
Cl1 Cl 0.5000 0.5000 0.5000
```

***

Entry 5:
A relaxed SrTeN2Cl crystal. Source: Alexandria, functional GGA-PBE.

Output
Calculated density (g cm⁻³): 4.2
Raw formation energy (meV/atom): 1367
Total magnetic moment (μB/cell): 2.5
Symmetry: No. 123
Total DFT energy (no corrections) (eV/atom): -3.298
Excess energy over the best structure of this formula in the dataset (eV per atom): 0.064

Geometry as CIF:
```
data_SrTeN2Cl
_chemical_formula_sum 'Sr1 Te1 N2 Cl1'
_cell_length_a 4.4919
_cell_length_b 4.4919
_cell_length_c 5.4708
_cell_angle_alpha 90.00
_cell_angle_beta 90.00
_cell_angle_gamma 90.00
_space_group_name_H-M_alt 'P 1'
_space_group_IT_number 1
loop_
_space_group_symop_operation_xyz
'x,y,z'
loop_
_atom_site_label
_atom_site_type_symbol
_atom_site_fract_x
_atom_site_fract_y
_atom_site_fract_z
Sr1 Sr 0.0000 0.0000 0.0000
Te1 Te 0.5000 0.5000 0.0000
N1 N 0.0000 0.5000 0.5000
N2 N 0.5000 0.0000 0.5000
Cl1 Cl 0.5000 0.5000 0.5000
```

***

Entry 6:
A relaxed Sr5TiN4Cl2 crystal. Source: Alexandria, functional GGA-PBE.

Output
Calculated density (g cm⁻³): 4.0
Raw formation energy (meV/atom): -1255
Total magnetic moment (μB/cell): 0.0
Symmetry: No. 38
Total DFT energy (no corrections) (eV/atom): -5.696

Geometry as CIF:
```
data_Sr5TiN4Cl2
_chemical_formula_sum 'Sr5 Ti1 N4 Cl2'
_cell_length_a 8.3023
_cell_length_b 5.8095
_cell_length_c 5.8095
_cell_angle_alpha 114.98
_cell_angle_beta 90.00
_cell_angle_gamma 90.00
_space_group_name_H-M_alt 'P 1'
_space_group_IT_number 1
loop_
_space_group_symop_operation_xyz
'x,y,z'
loop_
_atom_site_label
_atom_site_type_symbol
_atom_site_fract_x
_atom_site_fract_y
_atom_site_fract_z
Sr1 Sr 0.0000 0.0000 0.0000
Sr2 Sr 0.3081 0.2062 0.5752
Sr3 Sr 0.3081 0.5752 0.2062
Sr4 Sr 0.6919 0.2062 0.5752
Sr5 Sr 0.6919 0.5752 0.2062
Ti1 Ti 0.5000 0.9080 0.9080
N1 N 0.2998 0.0946 0.0946
N2 N 0.5000 0.5571 0.8734
N3 N 0.5000 0.8734 0.5571
N4 N 0.7002 0.0946 0.0946
Cl1 Cl 0.0000 0.4512 0.8362
Cl2 Cl 0.0000 0.8362 0.4512
```

***

Entry 7:
A relaxed SrTlNCl2 crystal. Source: Alexandria, functional GGA-PBE.

Output
Calculated density (g cm⁻³): 3.7
Raw formation energy (meV/atom): -578
Total magnetic moment (μB/cell): 2.0
Symmetry: No. 123
Total DFT energy (no corrections) (eV/atom): -3.791

Geometry as CIF:
```
data_SrTlNCl2
_chemical_formula_sum 'Sr1 Tl1 N1 Cl2'
_cell_length_a 5.7416
_cell_length_b 5.7416
_cell_length_c 5.1364
_cell_angle_alpha 90.00
_cell_angle_beta 90.00
_cell_angle_gamma 90.00
_space_group_name_H-M_alt 'P 1'
_space_group_IT_number 1
loop_
_space_group_symop_operation_xyz
'x,y,z'
loop_
_atom_site_label
_atom_site_type_symbol
_atom_site_fract_x
_atom_site_fract_y
_atom_site_fract_z
Sr1 Sr 0.0000 0.0000 0.0000
Tl1 Tl 0.5000 0.5000 0.5000
N1 N 0.0000 0.0000 0.5000
Cl1 Cl 0.0000 0.5000 0.0000
Cl2 Cl 0.5000 0.0000 0.0000
```

***

Entry 8:
A relaxed Sr5VN4Cl2 crystal. Source: Alexandria, functional GGA-PBE.

Output
Calculated density (g cm⁻³): 4.1
Raw formation energy (meV/atom): -1147
Total magnetic moment (μB/cell): 0.7
Symmetry: No. 38
Total DFT energy (no corrections) (eV/atom): -5.691

Geometry as CIF:
```
data_Sr5VN4Cl2
_chemical_formula_sum 'Sr5 V1 N4 Cl2'
_cell_length_a 8.1571
_cell_length_b 5.8005
_cell_length_c 5.8005
_cell_angle_alpha 113.98
_cell_angle_beta 90.00
_cell_angle_gamma 90.00
_space_group_name_H-M_alt 'P 1'
_space_group_IT_number 1
loop_
_space_group_symop_operation_xyz
'x,y,z'
loop_
_atom_site_label
_atom_site_type_symbol
_atom_site_fract_x
_atom_site_fract_y
_atom_site_fract_z
Sr1 Sr 0.0000 0.0000 0.0000
Sr2 Sr 0.3013 0.2022 0.5671
Sr3 Sr 0.3013 0.5671 0.2022
Sr4 Sr 0.6987 0.2022 0.5671
Sr5 Sr 0.6987 0.5671 0.2022
V1 V 0.5000 0.8903 0.8903
N1 N 0.3143 0.0649 0.0649
N2 N 0.5000 0.5583 0.8676
N3 N 0.5000 0.8676 0.5583
N4 N 0.6857 0.0649 0.0649
Cl1 Cl 0.0000 0.4569 0.8731
Cl2 Cl 0.0000 0.8731 0.4569
```

***

Entry 9:
A relaxed TaNCl crystal. Source: Alexandria, functional GGA-PBE.

Output
Calculated density (g cm⁻³): 6.2
Raw formation energy (meV/atom): -931
Total magnetic moment (μB/cell): 0.0
Symmetry: No. 12
Total DFT energy (no corrections) (eV/atom): -8.273

Geometry as CIF:
```
data_TaNCl
_chemical_formula_sum 'Ta2 N2 Cl2'
_cell_length_a 6.8342
_cell_length_b 6.8342
_cell_length_c 5.9115
_cell_angle_alpha 109.65
_cell_angle_beta 109.65
_cell_angle_gamma 28.30
_space_group_name_H-M_alt 'P 1'
_space_group_IT_number 1
loop_
_space_group_symop_operation_xyz
'x,y,z'
loop_
_atom_site_label
_atom_site_type_symbol
_atom_site_fract_x
_atom_site_fract_y
_atom_site_fract_z
Ta1 Ta 0.2346 0.2346 0.3018
Ta2 Ta 0.7654 0.7654 0.6982
N1 N 0.3393 0.3393 0.6713
N2 N 0.6607 0.6607 0.3287
Cl1 Cl 0.1367 0.1367 0.8259
Cl2 Cl 0.8633 0.8633 0.1741
```

***

Entry 10:
A relaxed TaNCl3 crystal. Source: Alexandria, functional GGA-PBE.

Output
Calculated density (g cm⁻³): 4.4
Raw formation energy (meV/atom): 353
Total magnetic moment (μB/cell): 2.8
Symmetry: No. 221
Total DFT energy (no corrections) (eV/atom): -4.791
Excess energy over the best structure of this formula in the dataset (eV per atom): 0.000

Geometry as CIF:
```
data_TaNCl3
_chemical_formula_sum 'Ta1 N1 Cl3'
_cell_length_a 4.8539
_cell_length_b 4.8539
_cell_length_c 4.8539
_cell_angle_alpha 90.00
_cell_angle_beta 90.00
_cell_angle_gamma 90.00
_space_group_name_H-M_alt 'P 1'
_space_group_IT_number 1
loop_
_space_group_symop_operation_xyz
'x,y,z'
loop_
_atom_site_label
_atom_site_type_symbol
_atom_site_fract_x
_atom_site_fract_y
_atom_site_fract_z
Ta1 Ta 0.0000 0.0000 0.0000
N1 N 0.5000 0.5000 0.5000
Cl1 Cl 0.0000 0.0000 0.5000
Cl2 Cl 0.0000 0.5000 0.0000
Cl3 Cl 0.5000 0.0000 0.0000
```

***

Entry 11:
A relaxed TaNCl3 crystal. Source: Alexandria, functional GGA-PBE.

Output
Calculated density (g cm⁻³): 6.2
Raw formation energy (meV/atom): 1547
Total magnetic moment (μB/cell): 0.0
Symmetry: No. 221
Total DFT energy (no corrections) (eV/atom): -3.596
Excess energy over the best structure of this formula in the dataset (eV per atom): 1.194

Geometry as CIF:
```
data_TaNCl3
_chemical_formula_sum 'Ta1 N1 Cl3'
_cell_length_a 4.3182
_cell_length_b 4.3182
_cell_length_c 4.3182
_cell_angle_alpha 90.00
_cell_angle_beta 90.00
_cell_angle_gamma 90.00
_space_group_name_H-M_alt 'P 1'
_space_group_IT_number 1
loop_
_space_group_symop_operation_xyz
'x,y,z'
loop_
_atom_site_label
_atom_site_type_symbol
_atom_site_fract_x
_atom_site_fract_y
_atom_site_fract_z
Ta1 Ta 0.0000 0.0000 0.0000
N1 N 0.5000 0.5000 0.5000
Cl1 Cl 0.0000 0.5000 0.5000
Cl2 Cl 0.5000 0.0000 0.5000
Cl3 Cl 0.5000 0.5000 0.0000
```

***

Entry 12:
A relaxed Ta2NCl crystal. Source: Alexandria, functional GGA-PBE.

Output
Calculated density (g cm⁻³): 13.1
Raw formation energy (meV/atom): 660
Total magnetic moment (μB/cell): 0.0
Symmetry: No. 225
Total DFT energy (no corrections) (eV/atom): -7.809
Excess energy over the best structure of this formula in the dataset (eV per atom): 0.640

Geometry as CIF:
```
data_Ta2NCl
_chemical_formula_sum 'Ta2 N1 Cl1'
_cell_length_a 4.1924
_cell_length_b 4.1924
_cell_length_c 4.1924
_cell_angle_alpha 60.00
_cell_angle_beta 60.00
_cell_angle_gamma 60.00
_space_group_name_H-M_alt 'P 1'
_space_group_IT_number 1
loop_
_space_group_symop_operation_xyz
'x,y,z'
loop_
_atom_site_label
_atom_site_type_symbol
_atom_site_fract_x
_atom_site_fract_y
_atom_site_fract_z
Ta1 Ta 0.2500 0.2500 0.2500
Ta2 Ta 0.7500 0.7500 0.7500
N1 N 0.0000 0.0000 0.0000
Cl1 Cl 0.5000 0.5000 0.5000
```

***

total magnetic moment of number 11 (TaNCl3)? 0.0 μB/cell

***

What is the total DFT energy (no corrections) in the seventh record? -3.791 eV/atom

***

Which value of raw formation energy does entry 2 give? -1168 meV/atom